[1]
This record from Alexandria via LeMat-Bulk describes Pr4DyTm after structural relaxation. The functional is PBE. Values from VASP.

Geometry as Quantum ESPRESSO input:
```
&SYSTEM
  ibrav = 0, nat = 6, ntyp = 3
/
ATOMIC_SPECIES
Tm 168.93 Tm.upf
Pr 140.91 Pr.upf
Dy 162.50 Dy.upf
CELL_PARAMETERS angstrom
-2.605 -4.519 -6.251
2.184 -2.857 -7.304
1.963 -4.235 2.243
ATOMIC_POSITIONS crystal
Tm 0.000 0.000 0.000
Pr 0.336 0.336 0.000
Dy 0.500 0.500 0.500
Pr 0.664 0.664 0.000
Pr 0.836 0.836 0.500
Pr 0.164 0.164 0.500
```

DOS at the Fermi energy, states/eV/cell: 9.4
Energy of formation, eV/atom: 0.02
Total DFT energy (no corrections), eV/atom: -4.674



[2]
This record from Alexandria via LeMat-Bulk describes SmY2Sn2 after structural relaxation. The functional is PBE. Values from VASP.

Geometry as Quantum ESPRESSO input:
```
&SYSTEM
  ibrav = 0, nat = 10, ntyp = 3
/
ATOMIC_SPECIES
Sn 118.71 Sn.upf
Y 88.91 Y.upf
Sm 150.36 Sm.upf
CELL_PARAMETERS angstrom
4.589 0.000 0.000
0.000 6.733 0.000
-2.294 0.000 9.225
ATOMIC_POSITIONS crystal
Sn 0.183 0.835 0.366
Sn 0.989 0.824 0.977
Y 0.592 0.065 0.185
Sm 0.596 0.586 0.191
Sm 0.404 0.086 0.809
Y 0.208 0.325 0.417
Y 0.408 0.565 0.815
Sn 0.011 0.324 0.023
Sn 0.817 0.335 0.634
Y 0.792 0.825 0.583
```

DOS at the Fermi energy, states/eV/cell: 9.0
Energy of formation, eV/atom: -0.61
Total DFT energy (no corrections), eV/atom: -5.745



[3]
This record from Alexandria via LeMat-Bulk describes CaTb2PmNd6 after structural relaxation. The functional is PBE. Values from VASP.

Geometry as Quantum ESPRESSO input:
```
&SYSTEM
  ibrav = 0, nat = 20, ntyp = 4
/
ATOMIC_SPECIES
Nd 144.24 Nd.upf
Pm 145.00 Pm.upf
Tb 158.93 Tb.upf
Ca 40.08 Ca.upf
CELL_PARAMETERS angstrom
9.444 -2.165 -2.246
0.795 8.765 -2.112
0.795 -2.436 8.681
ATOMIC_POSITIONS crystal
Nd 0.622 0.497 0.710
Nd 0.823 0.432 0.973
Nd 0.948 0.886 0.240
Pm 0.250 0.974 0.026
Nd 0.552 0.760 0.114
Tb 0.544 0.198 0.299
Ca 0.250 0.402 0.598
Nd 0.052 0.114 0.760
Nd 0.122 0.710 0.497
Nd 0.378 0.503 0.290
Nd 0.448 0.240 0.886
Nd 0.177 0.568 0.027
Tb 0.044 0.299 0.198
Ca 0.750 0.598 0.402
Pm 0.750 0.026 0.974
Tb 0.956 0.701 0.802
Nd 0.677 0.027 0.568
Nd 0.878 0.290 0.503
Tb 0.456 0.802 0.701
Nd 0.323 0.973 0.432
```

DOS at the Fermi energy, states/eV/cell: 30.2
Energy of formation, eV/atom: 0.13
Total DFT energy (no corrections), eV/atom: -4.333



[4]
This record from Alexandria via LeMat-Bulk describes YSc3Zn after structural relaxation. The functional is PBE. Values from VASP.

Geometry as Quantum ESPRESSO input:
```
&SYSTEM
  ibrav = 0, nat = 5, ntyp = 3
/
ATOMIC_SPECIES
Y 88.91 Y.upf
Sc 44.96 Sc.upf
Zn 65.41 Zn.upf
CELL_PARAMETERS angstrom
5.134 0.000 0.000
0.000 5.134 0.000
0.000 0.000 5.134
ATOMIC_POSITIONS crystal
Y 0.500 0.500 0.500
Sc 0.000 0.000 0.500
Zn 0.000 0.000 0.000
Sc 0.500 0.000 0.000
Sc 0.000 0.500 0.000
```

DOS at the Fermi energy, states/eV/cell: 5.5
Energy of formation, eV/atom: 0.19
Total DFT energy (no corrections), eV/atom: -5.155



[5]
This record from Alexandria via LeMat-Bulk describes CaZr2W after structural relaxation. The functional is PBE. Values from VASP.

Geometry as Quantum ESPRESSO input:
```
&SYSTEM
  ibrav = 0, nat = 8, ntyp = 3
/
ATOMIC_SPECIES
Zr 91.22 Zr.upf
W 183.84 W.upf
Ca 40.08 Ca.upf
CELL_PARAMETERS angstrom
-3.821 1.860 0.855
-1.909 -2.581 -2.914
-4.598 -7.246 6.204
ATOMIC_POSITIONS crystal
Zr 0.099 0.125 0.250
W 0.750 0.250 0.500
Ca 0.500 0.500 0.000
Ca 0.250 0.750 0.500
Zr 0.875 0.349 0.750
Zr 0.651 0.625 0.250
Zr 0.375 0.901 0.750
W 0.000 0.000 0.000
```

DOS at the Fermi energy, states/eV/cell: 9.4
Energy of formation, eV/atom: 1.04
Total DFT energy (no corrections), eV/atom: -6.969



[6]
This record from Alexandria via LeMat-Bulk describes Te2MoPtPb after structural relaxation. The functional is PBE. Values from VASP.

Geometry as Quantum ESPRESSO input:
```
&SYSTEM
  ibrav = 0, nat = 5, ntyp = 4
/
ATOMIC_SPECIES
Pb 207.20 Pb.upf
Mo 95.94 Mo.upf
Te 127.60 Te.upf
Pt 195.08 Pt.upf
CELL_PARAMETERS angstrom
-1.380 2.979 -4.674
-2.306 -4.369 -2.105
-4.970 1.466 2.402
ATOMIC_POSITIONS crystal
Pb 0.000 0.000 0.000
Mo 0.000 0.500 0.000
Te 0.500 0.000 0.000
Te 0.000 0.000 0.500
Pt 0.500 0.500 0.500
```

DOS at the Fermi energy, states/eV/cell: 7.0
Formation energy from raw total energies, kJ/mol of formula units: 879.8
Total DFT energy (no corrections), eV/atom: -3.549



[7]
This record from Alexandria via LeMat-Bulk describes ZnCd2Te2 after structural relaxation. The functional is PBE. Values from VASP.

Geometry as Quantum ESPRESSO input:
```
&SYSTEM
  ibrav = 0, nat = 10, ntyp = 3
/
ATOMIC_SPECIES
Zn 65.41 Zn.upf
Te 127.60 Te.upf
Cd 112.41 Cd.upf
CELL_PARAMETERS angstrom
-7.141 -0.482 -4.090
-2.075 -6.651 4.406
-1.907 2.597 3.023
ATOMIC_POSITIONS crystal
Zn 0.500 0.500 0.000
Te 0.723 0.223 0.000
Te 0.777 0.723 0.000
Cd 0.617 0.883 0.500
Cd 0.883 0.383 0.500
Zn 0.000 0.000 0.000
Te 0.277 0.777 0.000
Cd 0.383 0.117 0.500
Cd 0.117 0.617 0.500
Te 0.223 0.277 0.000
```

DOS at the Fermi energy, states/eV/cell: 2.5
Formation energy from raw total energies, kJ/mol of formula units: -18.8
Total DFT energy (no corrections), eV/atom: -1.916



[8]
This record from Alexandria via LeMat-Bulk describes Na2Al5Ag5 after structural relaxation. The functional is PBE. Values from VASP.

Geometry as Quantum ESPRESSO input:
```
&SYSTEM
  ibrav = 0, nat = 12, ntyp = 3
/
ATOMIC_SPECIES
Ag 107.87 Ag.upf
Al 26.98 Al.upf
Na 22.99 Na.upf
CELL_PARAMETERS angstrom
4.510 0.000 0.000
0.000 5.462 0.000
0.000 0.000 9.578
ATOMIC_POSITIONS crystal
Ag 0.000 0.500 0.667
Al 0.500 0.252 0.753
Al 0.500 0.748 0.247
Na 0.000 0.000 0.500
Ag 0.500 0.000 0.000
Ag 0.000 0.500 0.333
Al 0.500 0.252 0.247
Ag 0.000 0.000 0.185
Na 0.000 0.500 0.000
Al 0.500 0.500 0.500
Ag 0.000 0.000 0.815
Al 0.500 0.748 0.753
```

DOS at the Fermi energy, states/eV/cell: 4.0
Energy of formation, eV/atom: -0.05
Total DFT energy (no corrections), eV/atom: -3.018